TmV2CoO8 | PBE with a Hubbard U | relaxed

Cell: 5.7058 5.7058 5.5993 Å, 90.00 90.00 120.00°
With the nearest neighbours (Å) after each atom.
Fractional coordinates of all 12 atoms:
O (0.1570, 0.8430, 0.7144)  1 V 1.81, 1 Co 1.96
O (0.1570, 0.3140, 0.7144)  1 V 1.81, 1 Co 1.96
O (0.3333, 0.6667, 0.3366)  1 V 1.62
O (0.3140, 0.1570, 0.2856)  1 V 1.81, 1 Co 1.96
O (0.6860, 0.8430, 0.7144)  1 V 1.81, 1 Co 1.96
O (0.8430, 0.6860, 0.2856)  1 V 1.81, 1 Co 1.96
O (0.6667, 0.3333, 0.6634)  1 V 1.62
O (0.8430, 0.1570, 0.2856)  1 V 1.81, 1 Co 1.96
V (0.6667, 0.3333, 0.3748)  1 O 1.62
V (0.3333, 0.6667, 0.6252)  1 O 1.62
Tm (0.0000, 0.0000, 0.0000)  6 O 2.23
Co (0.0000, 0.0000, 0.5000)  6 O 1.96

**Total magnetic moment**: 0.0 μB per formula unit
**E_tot**: -7.2968 eV/atom
**ρ**: 4.8 g/cm³